Entry 1:
13
Lattice="2.459 1.420 8.506 -2.459 1.420 8.506 0.000 -2.839 8.506" Properties=species:S:1:pos:R:3 comment="Al6Cu7 | the Alexandria database | PBE | optimized geometry" spacegroup=R-3m delta_e_f_ev_per_atom=-0.12 dft_energy_ev_per_atom=-4.058 pbc="T T T"
Al 0.000 0.000 1.268
Al 0.000 0.000 3.961
Al 0.000 0.000 8.491
Al 0.000 0.000 17.027
Al 0.000 0.000 21.557
Al 0.000 0.000 24.250
Cu -1.235 -0.713 10.724
Cu 0.000 -1.426 14.794
Cu -1.235 0.713 14.794
Cu 0.000 0.000 12.759
Cu 1.235 -0.713 10.724
Cu 0.000 1.426 10.724
Cu 1.235 0.713 14.794


Entry 2:
20
Lattice="6.322 0.000 0.000 0.000 6.322 0.000 0.000 0.000 6.322" Properties=species:S:1:pos:R:3 comment="AlCu4 | the Alexandria database | PBE | optimized geometry" spacegroup=P2_13 delta_e_f_ev_per_atom=-0.12 dft_energy_ev_per_atom=-4.148 pbc="T T T"
Al 0.380 0.380 0.380
Al 2.782 5.943 3.541
Al 3.541 2.782 5.943
Al 5.943 3.541 2.782
Cu 0.302 5.533 4.432
Cu 0.789 1.271 2.859
Cu 1.205 5.117 1.956
Cu 1.271 2.859 0.789
Cu 1.890 3.463 3.950
Cu 1.956 1.205 5.117
Cu 2.372 5.051 6.020
Cu 2.859 0.789 1.271
Cu 3.463 3.950 1.890
Cu 3.950 1.890 3.463
Cu 4.366 4.366 4.366
Cu 4.432 0.302 5.533
Cu 5.051 6.020 2.372
Cu 5.117 1.956 1.205
Cu 5.533 4.432 0.302
Cu 6.020 2.372 5.051


Entry 3:
6
Lattice="4.776 0.000 0.000 -2.388 4.136 0.000 0.000 0.000 4.793" Properties=species:S:1:pos:R:3 comment="Al5Cu | the Alexandria database | PBE | optimized geometry" spacegroup=P-62m delta_e_f_ev_per_atom=0.02 dft_energy_ev_per_atom=-3.779 pbc="T T T"
Al -1.601 2.773 0.000
Al 0.787 1.363 0.000
Al 0.000 2.758 2.397
Al 2.388 1.379 2.397
Al 3.202 0.000 0.000
Cu 0.000 0.000 2.397


Entry 4:
18
Lattice="7.313 0.000 0.000 -3.656 6.333 0.000 0.000 0.000 5.200" Properties=species:S:1:pos:R:3 comment="Al4Cu5 | the Alexandria database | PBE | optimized geometry" spacegroup=P6_3/mcm delta_e_f_ev_per_atom=-0.12 e_above_lowest_polymorph_kj_per_mol_atoms=3.3 dft_energy_ev_per_atom=-4.056 pbc="T T T"
Al 0.000 0.000 0.000
Al 0.000 0.000 2.600
Al -1.296 2.244 1.300
Al -2.361 4.089 3.900
Al 2.591 0.000 1.300
Al 1.296 2.244 3.900
Al 4.721 0.000 3.900
Al 2.361 4.089 1.300
Cu -1.150 1.992 3.900
Cu -2.506 4.341 1.300
Cu 2.300 0.000 3.900
Cu 1.150 1.992 1.300
Cu 0.000 4.222 0.000
Cu 0.000 4.222 2.600
Cu 3.656 2.111 0.000
Cu 3.656 2.111 2.600
Cu 5.013 0.000 1.300
Cu 2.506 4.341 3.900


Entry 5:
4
Lattice="2.845 0.000 0.000 -1.423 2.464 0.000 0.000 0.000 8.672" Properties=species:S:1:pos:R:3 comment="Al3Cu | the Alexandria database | PBE | optimized geometry" spacegroup=P-6m2 delta_e_f_ev_per_atom=-0.02 dft_energy_ev_per_atom=-3.853 pbc="T T T"
Al 0.000 0.000 0.000
Al 0.000 1.643 2.328
Al 0.000 1.643 6.345
Cu 0.000 0.000 4.336


Entry 6:
5
Lattice="-1.684 1.684 6.092 1.684 -1.684 6.092 1.684 1.684 -6.092" Properties=species:S:1:pos:R:3 comment="AlCu4 | the Alexandria database | PBE | optimized geometry" spacegroup=I4/mmm delta_e_f_ev_per_atom=0.15 dft_energy_ev_per_atom=-3.877 pbc="T T T"
Al 0.000 0.000 0.000
Cu 1.684 0.000 3.046
Cu 0.000 0.000 4.906
Cu 0.000 0.000 7.277
Cu 0.000 1.684 3.046


Entry 7:
16
Lattice="7.287 0.000 0.000 -3.643 6.311 0.000 0.000 0.000 5.069" Properties=species:S:1:pos:R:3 comment="Al5Cu3 | the Alexandria database | PBE | optimized geometry" spacegroup=P6_3/mcm delta_e_f_ev_per_atom=-0.07 e_above_lowest_polymorph_kj_per_mol_atoms=2.5 dft_energy_ev_per_atom=-3.942 pbc="T T T"
Al -0.845 1.463 1.267
Al -2.799 4.847 3.802
Al 1.689 0.000 1.267
Al 0.845 1.463 3.802
Al 0.000 4.207 0.000
Al 0.000 4.207 2.534
Al 3.643 2.104 0.000
Al 3.643 2.104 2.534
Al 5.597 0.000 3.802
Al 2.799 4.847 1.267
Cu -1.476 2.556 3.802
Cu -2.167 3.754 1.267
Cu 2.952 0.000 3.802
Cu 1.476 2.556 1.267
Cu 4.335 0.000 1.267
Cu 2.167 3.754 3.802


Entry 8:
14
Lattice="6.536 -2.529 0.000 6.536 2.529 0.000 -1.188 0.000 6.596" Properties=species:S:1:pos:R:3 comment="Al5Cu2 | the Alexandria database | PBE | optimized geometry" spacegroup=C2/c delta_e_f_ev_per_atom=-0.07 dft_energy_ev_per_atom=-3.912 pbc="T T T"
Al 2.508 0.470 2.088
Al 5.645 1.848 4.947
Al 5.257 0.799 0.408
Al 1.913 -0.470 5.386
Al 7.221 0.799 2.890
Al 4.663 -0.799 3.706
Al 9.970 0.470 1.210
Al 6.626 -0.799 6.188
Al 6.239 -1.848 1.649
Al 9.376 -0.470 4.508
Cu 4.632 1.500 2.757
Cu 7.845 1.500 0.541
Cu 4.038 -1.500 6.055
Cu 7.251 -1.500 3.839


Entry 9:
6
Lattice="4.480 0.000 0.000 -2.240 3.879 0.000 0.000 0.000 4.240" Properties=species:S:1:pos:R:3 comment="AlCu5 | the Alexandria database | PBE | optimized geometry" spacegroup=P-62m delta_e_f_ev_per_atom=-0.13 dft_energy_ev_per_atom=-4.171 pbc="T T T"
Al 0.000 0.000 0.000
Cu -1.491 2.583 2.120
Cu 0.000 2.586 0.000
Cu 0.749 1.297 2.120
Cu 2.982 0.000 2.120
Cu 2.240 1.293 0.000


Entry 10:
6
Lattice="4.749 0.000 0.000 -2.374 4.113 0.000 0.000 0.000 4.178" Properties=species:S:1:pos:R:3 comment="AlCu5 | the Alexandria database | PBE | optimized geometry" spacegroup=P6/mmm delta_e_f_ev_per_atom=0.08 dft_energy_ev_per_atom=-3.953 pbc="T T T"
Al 0.000 0.000 0.000
Cu -1.187 2.056 2.089
Cu 0.000 2.742 0.000
Cu 2.374 0.000 2.089
Cu 1.187 2.056 2.089
Cu 2.374 1.371 0.000


Entry 11:
4
Lattice="4.757 -1.353 0.000 4.757 1.353 0.000 -1.109 0.000 4.746" Properties=species:S:1:pos:R:3 comment="Al3Cu | the Alexandria database | PBE | optimized geometry" spacegroup=C2/m delta_e_f_ev_per_atom=-0.04 dft_energy_ev_per_atom=-3.876 pbc="T T T"
Al 0.000 0.000 0.000
Al 1.422 0.000 3.512
Al 6.983 0.000 1.234
Cu 4.203 0.000 2.373


Entry 12:
5
Lattice="4.583 0.000 0.000 0.000 4.583 0.000 0.000 0.000 4.583" Properties=species:S:1:pos:R:3 comment="Al4Cu | the Alexandria database | PBE | optimized geometry" spacegroup=Pm-3m delta_e_f_ev_per_atom=0.32 e_above_lowest_polymorph_kj_per_mol_atoms=34.1 dft_energy_ev_per_atom=-3.495 pbc="T T T"
Al 0.000 0.000 0.000
Al 0.000 2.292 2.292
Al 2.292 0.000 2.292
Al 2.292 2.292 0.000
Cu 2.292 2.292 2.292


Entry 13:
5
Lattice="4.423 0.000 0.000 0.000 4.423 0.000 0.000 0.000 4.423" Properties=species:S:1:pos:R:3 comment="AlCu4 | the Alexandria database | PBE | optimized geometry" spacegroup=Pm-3m delta_e_f_ev_per_atom=0.84 dft_energy_ev_per_atom=-3.183 pbc="T T T"
Al 0.000 0.000 0.000
Cu 0.000 0.000 2.212
Cu 0.000 2.212 0.000
Cu 2.212 0.000 0.000
Cu 2.212 2.212 2.212


Entry 14:
6
Lattice="0.000 3.699 3.699 3.699 0.000 3.699 3.699 3.699 0.000" Properties=species:S:1:pos:R:3 comment="Al5Cu | the Alexandria database | PBE | optimized geometry" spacegroup=F-43m delta_e_f_ev_per_atom=0.25 dft_energy_ev_per_atom=-3.547 pbc="T T T"
Al 0.000 0.000 0.000
Al 4.623 2.775 2.775
Al 2.775 4.623 2.775
Al 2.775 2.775 4.623
Al 4.623 4.623 4.623
Cu 1.850 1.850 1.850


Entry 15:
4
Lattice="2.794 0.000 0.000 0.000 3.872 0.000 0.000 0.000 5.603" Properties=species:S:1:pos:R:3 comment="Al3Cu | the Alexandria database | PBE | optimized geometry" spacegroup=Pmmm delta_e_f_ev_per_atom=-0.04 dft_energy_ev_per_atom=-3.867 pbc="T T T"
Al 0.000 0.000 0.000
Al 1.397 1.936 1.452
Al 1.397 1.936 4.151
Cu 0.000 0.000 2.801


Entry 16:
8
Lattice="-1.947 1.947 8.015 1.947 -1.947 8.015 1.947 1.947 -8.015" Properties=species:S:1:pos:R:3 comment="Al3Cu | the Alexandria database | PBE | optimized geometry" spacegroup=I4/mmm delta_e_f_ev_per_atom=-0.04 dft_energy_ev_per_atom=-3.871 pbc="T T T"
Al 1.947 0.000 0.000
Al 0.000 0.000 1.987
Al 1.947 0.000 4.007
Al 0.000 1.947 0.000
Al 0.000 1.947 4.007
Al 0.000 0.000 14.043
Cu 0.000 0.000 5.961
Cu 0.000 0.000 10.069


Entry 17:
14
Lattice="5.608 -3.141 0.000 5.608 3.141 0.000 -0.180 0.000 5.179" Properties=species:S:1:pos:R:3 comment="Al2Cu5 | the Alexandria database | PBE | optimized geometry" spacegroup=C2/c delta_e_f_ev_per_atom=-0.15 dft_energy_ev_per_atom=-4.147 pbc="T T T"
Al 4.345 1.931 2.622
Al 6.599 1.931 5.146
Al 4.435 -1.931 0.032
Al 6.690 -1.931 2.557
Cu 4.249 1.793 0.027
Cu 3.002 0.004 1.311
Cu 2.912 -0.004 3.901
Cu 6.876 1.793 2.563
Cu 5.563 -0.002 1.295
Cu 5.472 0.002 3.884
Cu 4.159 -1.793 2.616
Cu 8.123 0.004 1.278
Cu 8.033 -0.004 3.867
Cu 6.786 -1.793 5.152


Entry 18:
11
Lattice="2.077 -6.200 0.000 2.077 6.200 0.000 0.000 0.000 5.910" Properties=species:S:1:pos:R:3 comment="Al5Cu6 | the Alexandria database | PBE | optimized geometry" spacegroup=Cmmm delta_e_f_ev_per_atom=-0.14 dft_energy_ev_per_atom=-4.072 pbc="T T T"
Al 0.000 0.000 0.000
Al 2.077 2.097 2.955
Al 2.077 2.055 0.000
Al 2.077 -2.055 0.000
Al 2.077 -2.097 2.955
Cu 2.077 4.262 1.555
Cu 2.077 4.262 4.354
Cu 2.077 0.000 1.586
Cu 2.077 0.000 4.323
Cu 2.077 -4.262 1.555
Cu 2.077 -4.262 4.354


Entry 19:
4
Lattice="4.396 2.538 0.920 -4.396 2.538 0.920 0.000 -5.076 0.920" Properties=species:S:1:pos:R:3 comment="Al3Cu | the Alexandria database | PBE | optimized geometry" spacegroup=R-3m delta_e_f_ev_per_atom=0.09 dft_energy_ev_per_atom=-3.743 pbc="T T T"
Al -2.198 -1.269 0.920
Al -2.198 1.269 1.841
Al 0.000 2.538 0.920
Cu 0.000 0.000 0.000


Entry 20:
6
Lattice="2.857 0.000 0.000 0.000 2.857 0.000 0.000 0.000 11.401" Properties=species:S:1:pos:R:3 comment="Al5Cu | the Alexandria database | PBE | optimized geometry" spacegroup=P4/mmm delta_e_f_ev_per_atom=-0.05 dft_energy_ev_per_atom=-3.848 pbc="T T T"
Al 0.000 0.000 0.000
Al 0.000 0.000 4.027
Al 0.000 0.000 7.375
Al 1.429 1.429 1.973
Al 1.429 1.429 9.428
Cu 1.429 1.429 5.701


Entry 21:
6
Lattice="1.863 -5.418 0.000 1.863 5.418 0.000 0.000 0.000 3.653" Properties=species:S:1:pos:R:3 comment="AlCu5 | the Alexandria database | PBE | optimized geometry" spacegroup=Cmmm delta_e_f_ev_per_atom=-0.13 dft_energy_ev_per_atom=-4.169 pbc="T T T"
Al 0.000 0.000 0.000
Cu 1.863 3.594 1.826
Cu 1.863 1.803 0.000
Cu 1.863 0.000 1.826
Cu 1.863 -1.803 0.000
Cu 1.863 -3.594 1.826


Entry 22:
4
Lattice="4.580 0.000 0.000 0.000 4.580 0.000 0.000 0.000 4.580" Properties=species:S:1:pos:R:3 comment="Al3Cu | the Alexandria database | PBE | optimized geometry" spacegroup=Pm-3m delta_e_f_ev_per_atom=0.45 dft_energy_ev_per_atom=-3.382 pbc="T T T"
Al 0.000 0.000 2.290
Al 0.000 2.290 0.000
Al 2.290 0.000 0.000
Cu 0.000 0.000 0.000


Entry 23:
4
Lattice="2.805 -3.915 0.000 2.805 3.915 0.000 0.000 0.000 2.752" Properties=species:S:1:pos:R:3 comment="Al3Cu | the Alexandria database | PBE | optimized geometry" spacegroup=Cmmm delta_e_f_ev_per_atom=-0.05 dft_energy_ev_per_atom=-3.883 pbc="T T T"
Al 0.000 0.000 0.000
Al 1.403 1.958 1.376
Al 1.403 -1.958 1.376
Cu 2.805 0.000 0.000


Entry 24:
6
Lattice="2.838 0.000 0.000 -1.419 2.458 0.000 0.000 0.000 13.493" Properties=species:S:1:pos:R:3 comment="Al5Cu | the Alexandria database | PBE | optimized geometry" spacegroup=P-6m2 delta_e_f_ev_per_atom=-0.01 dft_energy_ev_per_atom=-3.810 pbc="T T T"
Al 0.000 0.000 0.000
Al 0.000 0.000 4.713
Al 0.000 0.000 8.780
Al 0.000 1.639 2.373
Al 0.000 1.639 11.120
Cu 0.000 1.639 6.747